## MgPaP2O8 (PBE-GGA)

Data for a relaxed MgPaP2O8 crystal.

The uncorrected formation energy comes out at -2.518 eV/atom.

The structure belongs to space group P-3m1 (No. 164); the cell edges are 5.3742, 5.3742 and 6.4646 Å and the angles 90.00°, 90.00° and 120.00°. The asymmetric unit holds Mg at (0.0000, 0.0000, 0.0000), Pa at (0.0000, 0.0000, 0.5000), P at (0.3333, 0.6667, 0.8340), O at (0.1757, 0.3513, 0.7428) and O at (0.3333, 0.6667, 0.0641).

---

## TbPm8Dy2 (PBE-GGA)

Data for a relaxed TbPm8Dy2 crystal.

The calculation puts the excess energy over the best structure of this formula in the dataset at 0 meV per atom. The formation energy is 0.119 eV/atom.

The structure belongs to space group C2/m (No. 12); the cell edges are 11.213, 7.442 and 9.321 Å and the angles 90.00°, 106.31° and 90.00°. The asymmetric unit holds Tb at (0.000, 0.000, 0.000), Pm at (0.069, 0.281, 0.272), Pm at (0.173, 0.500, 0.622), Pm at (0.193, 0.500, 0.998) and Dy at (0.142, 0.000, 0.625).

---

## Tb3Pm2Ho6Pb (PBE-GGA)

Data for a relaxed Tb3Pm2Ho6Pb crystal.

The formation energy is -0.065 eV/atom.

The structure belongs to space group C2/m (No. 12); the cell edges are 6.096, 10.562 and 11.725 Å and the angles 90.00°, 100.03° and 90.00°. The asymmetric unit holds Tb at (0.000, 0.000, 0.000), Tb at (0.000, 0.333, 0.000), Pm at (0.000, 0.166, 0.500), Ho at (0.244, 0.500, 0.249), Ho at (0.246, 0.336, 0.750) and Pb at (0.000, 0.500, 0.500).

---

## Ba3In3Ir2 (PBE-GGA)

Data for a relaxed Ba3In3Ir2 crystal.

The formation energy is -0.300 eV/atom.

The structure belongs to space group Pnma (No. 62); the cell edges are 8.870, 16.748 and 6.556 Å and the angles 90.00°, 90.00° and 90.00°. The asymmetric unit holds Ba at (0.042, 0.108, 0.091), Ba at (0.204, 0.250, 0.598), In at (0.152, 0.750, 0.569), In at (0.160, 0.037, 0.602) and Ir at (0.130, 0.600, 0.373).

---

## HfAlBi2O6 (PBE-GGA)

Data for a relaxed HfAlBi2O6 crystal.

The uncorrected formation energy comes out at -2.138 eV/atom.

The structure belongs to space group C2/m (No. 12); the cell edges are 9.620, 5.548 and 5.803 Å and the angles 90.00°, 126.21° and 90.00°. The asymmetric unit holds Hf at (0.000, 0.000, 0.000), Al at (0.000, 0.500, 0.500), Bi at (0.247, 0.000, 0.735), O at (0.052, 0.253, 0.317) and O at (0.239, 0.500, 0.819).